Here is a relaxed VP2H4O9 crystal from Alexandria. Energies are from PBE+U.

a b c (Å): 9.2028 9.2028 7.7890
angles (deg): 90.00 90.00 90.00
Fractional positions:
V1 0.2500 0.2500 0.2099
V2 0.2500 0.2500 0.7099
V3 0.7500 0.7500 0.2901
V4 0.7500 0.7500 0.7901
P1 0.0474 0.5474 0.2500
P2 0.0474 0.9526 0.7500
P3 0.4526 0.5474 0.7500
P4 0.4526 0.9526 0.2500
P5 0.5474 0.0474 0.7500
P6 0.5474 0.4526 0.2500
P7 0.9526 0.0474 0.2500
P8 0.9526 0.4526 0.7500
H1 0.0869 0.7132 0.0447
H2 0.0869 0.7868 0.5447
H3 0.2132 0.5869 0.4553
H4 0.2132 0.9131 0.9553
H5 0.2868 0.5869 0.9553
H6 0.2868 0.9131 0.4553
H7 0.4131 0.7132 0.5447
H8 0.4131 0.7868 0.0447
H9 0.5869 0.2132 0.9553
H10 0.5869 0.2868 0.4553
H11 0.7132 0.0869 0.5447
H12 0.7132 0.4131 0.0447
H13 0.7868 0.0869 0.0447
H14 0.7868 0.4131 0.5447
H15 0.9131 0.2132 0.4553
H16 0.9131 0.2868 0.9553
O1 0.0812 0.1134 0.7461
O2 0.0812 0.3866 0.2461
O3 0.1134 0.0812 0.2461
O4 0.1134 0.4188 0.7461
O5 0.1174 0.6228 0.4150
O6 0.1174 0.8772 0.9150
O7 0.1228 0.6174 0.0850
O8 0.1228 0.8826 0.5850
O9 0.2500 0.2500 0.4958
O10 0.2500 0.2500 0.9958
O11 0.3772 0.6174 0.5850
O12 0.3772 0.8826 0.0850
O13 0.3826 0.6228 0.9150
O14 0.3826 0.8772 0.4150
O15 0.3866 0.0812 0.7461
O16 0.3866 0.4188 0.2461
O17 0.4188 0.1134 0.2461
O18 0.4188 0.3866 0.7461
O19 0.5812 0.6134 0.2539
O20 0.5812 0.8866 0.7539
O21 0.6134 0.5812 0.7539
O22 0.6134 0.9188 0.2539
O23 0.6174 0.1228 0.5850
O24 0.6174 0.3772 0.0850
O25 0.6228 0.1174 0.9150
O26 0.6228 0.3826 0.4150
O27 0.7500 0.7500 0.0042
O28 0.7500 0.7500 0.5042
O29 0.8772 0.1174 0.4150
O30 0.8772 0.3826 0.9150
O31 0.8826 0.1228 0.0850
O32 0.8826 0.3772 0.5850
O33 0.8866 0.5812 0.2539
O34 0.8866 0.9188 0.7539
O35 0.9188 0.6134 0.7539
O36 0.9188 0.8866 0.2539

Values from the calculation:
- symmetry = P4/ncc (130)
- D(E_F) (states/eV per atom) = 0.00
- total energy (eV/atom) = -6.4933

Here is a relaxed P4H3W2O16 crystal from Alexandria. Energies are from PBE+U.

a b c (Å): 5.0452 7.3645 8.3441
angles (deg): 90.50 90.65 104.72
Fractional positions:
P1 0.0000 0.0000 0.0000
P2 0.2311 0.5419 0.7036
P3 0.4951 0.5017 0.1975
P4 0.7407 0.0466 0.5071
H1 0.2592 0.2029 0.2418
H2 0.5793 0.7609 0.8415
H3 0.9755 0.3443 0.4607
W1 0.1179 0.7747 0.3514
W2 0.6181 0.2716 0.8545
O1 0.0954 0.9799 0.1749
O2 0.1430 0.5703 0.5304
O3 0.2795 0.0943 0.9090
O4 0.3036 0.6347 0.1922
O5 0.3704 0.3211 0.2939
O6 0.3831 0.7271 0.7838
O7 0.4022 0.3940 0.6994
O8 0.4774 0.9487 0.4180
O9 0.5483 0.4493 0.0238
O10 0.6898 0.0993 0.6810
O11 0.7578 0.5987 0.2879
O12 0.8431 0.1590 0.0068
O13 0.8429 0.8233 0.9190
O14 0.8618 0.2271 0.4096
O15 0.9333 0.9144 0.5115
O16 0.9595 0.4541 0.7967

Values from the calculation:
- symmetry = P1 (1)
- D(E_F) (states/eV per atom) = 0.00
- total energy (eV/atom) = -6.9573

- Which of these has the highest total energy?
  VP2H4O9

What did the second record say?
Here is a relaxed P4H3W2O16 crystal from Alexandria. Energies are from PBE+U.

a b c (Å): 5.0452 7.3645 8.3441
angles (deg): 90.50 90.65 104.72
Fractional positions:
P1 0.0000 0.0000 0.0000
P2 0.2311 0.5419 0.7036
P3 0.4951 0.5017 0.1975
P4 0.7407 0.0466 0.5071
H1 0.2592 0.2029 0.2418
H2 0.5793 0.7609 0.8415
H3 0.9755 0.3443 0.4607
W1 0.1179 0.7747 0.3514
W2 0.6181 0.2716 0.8545
O1 0.0954 0.9799 0.1749
O2 0.1430 0.5703 0.5304
O3 0.2795 0.0943 0.9090
O4 0.3036 0.6347 0.1922
O5 0.3704 0.3211 0.2939
O6 0.3831 0.7271 0.7838
O7 0.4022 0.3940 0.6994
O8 0.4774 0.9487 0.4180
O9 0.5483 0.4493 0.0238
O10 0.6898 0.0993 0.6810
O11 0.7578 0.5987 0.2879
O12 0.8431 0.1590 0.0068
O13 0.8429 0.8233 0.9190
O14 0.8618 0.2271 0.4096
O15 0.9333 0.9144 0.5115
O16 0.9595 0.4541 0.7967

Values from the calculation:
- symmetry = P1 (1)
- D(E_F) (states/eV per atom) = 0.00
- total energy (eV/atom) = -6.9573